Entry from Alexandria: crystalline Cr3FeSb at its relaxed geometry (PBE).

```
Cr3FeSb
1.0
4.346 0.000 0.000
0.000 4.346 0.000
0.000 0.000 4.346
Sb Fe Cr
1 1 3
Direct
0.500 0.500 0.500
0.000 0.000 0.000
0.000 0.000 0.500
0.500 0.000 0.000
0.000 0.500 0.000
```

**Space group**: Pm-3m, No. 221
**Mass density**: 6.749 Mg/m³
**Formation energy (no corrections)**: 4.278 eV per formula unit